Here is a relaxed structure of CsLi3Cr from the Alexandria database. Energies are from GGA-PBE.

**ΔH_f (0 K)**: 1844 meV/atom
**Symmetry**: Pm-3m, No. 221
**Calculated volume**: 129.09 Å³/cell
**Total magnetic moment**: 0.00 μB/cell

abc: 5.0539 5.0539 5.0539
angles: 90.00 90.00 90.00
Atoms (fractional coordinates):
Cs  0.0000  0.0000  0.0000
Li  0.0000  0.0000  0.5000
Li  0.0000  0.5000  0.0000
Li  0.5000  0.0000  0.0000
Cr  0.5000  0.5000  0.5000